Record 1
DFT (PBE-GGA) results for a relaxed structure of TmBiNO.

Output
**Distance to the lowest polymorph of the same formula**: 210 kJ/mol of formula units
**Raw total energy**: -6.255 eV/atom
**Size of the total moment**: 0.00 μB/atom
**Mass density**: 8.85 g/cm3

a = 4.4655 Å, b = 4.4655 Å, c = 7.6776 Å
α = 90.00°, β = 90.00°, γ = 90.00°
With the nearest neighbours (Å) after each atom.
Space group P4/nmm (No. 129, origin choice 2)
Asymmetric unit:
1 Tm 0.2500 0.7500 0.0000 (multiplicity 2)  4 N 2.29
2 Bi 0.2500 0.2500 0.3894 (multiplicity 2)  4 O 2.39
3 N 0.2500 0.2500 0.9347 (multiplicity 2)  4 Tm 2.29
4 O 0.2500 0.7500 0.5000 (multiplicity 2)  4 Bi 2.39

Record 2
DFT (PBE-GGA) results for a relaxed structure of TmBIr.

Output
**Distance to the lowest polymorph of the same formula**: 308 kJ/mol of formula units
**Raw total energy**: -5.779 eV/atom
**Size of the total moment**: 0.00 μB/atom
**Mass density**: 10.66 g/cm3

a = 6.1422 Å, b = 6.1422 Å, c = 6.1422 Å
α = 90.00°, β = 90.00°, γ = 90.00°
With the nearest neighbours (Å) after each atom.
Space group F-43m (No. 216)
Asymmetric unit:
1 Tm 0.0000 0.0000 0.0000 (multiplicity 4)  4 Ir 2.66, 4 B 2.66
2 B 0.2500 0.2500 0.7500 (multiplicity 4)  4 Tm 2.66
3 Ir 0.2500 0.2500 0.2500 (multiplicity 4)  4 Tm 2.66

Record 3
DFT (PBE-GGA) results for a relaxed structure of K2Zn3S4.

Output
**Raw total energy**: -3.137 eV/atom
**Mass density**: 2.97 g/cm3

a = 5.7857 Å, b = 11.0862 Å, c = 28.0503 Å
α = 90.00°, β = 90.00°, γ = 90.00°
With the nearest neighbours (Å) after each atom.
Space group Fddd (No. 70, origin choice 2)
Asymmetric unit:
1 K 0.1250 0.1250 0.0340 (multiplicity 16)  6 S 3.29-3.54, 2 K 3.66
2 Zn 0.1250 0.1250 0.3763 (multiplicity 16)  4 S 2.43
3 Zn 0.1250 0.1250 0.6250 (multiplicity 8)  4 S 2.42
4 S 0.1176 0.2837 0.5656 (multiplicity 32)  3 Zn 2.42-2.43

Record 4
DFT (PBE-GGA) results for a relaxed structure of IrPb2O4.

Output
**Raw total energy**: -5.721 eV/atom
**Size of the total moment**: 0.00 μB/atom
**Mass density**: 9.56 g/cm3

a = 9.7673 Å, b = 9.7673 Å, c = 9.7673 Å
α = 90.00°, β = 90.00°, γ = 90.00°
With the nearest neighbours (Å) after each atom.
Space group Fd-3m (No. 227, origin choice 2)
Asymmetric unit:
1 Ir 0.1250 0.1250 0.1250 (multiplicity 8)  4 O 1.91
2 Pb 0.0000 0.0000 0.5000 (multiplicity 16)  6 O 2.57
3 O 0.0121 0.0121 0.2379 (multiplicity 32)  1 Ir 1.91

- What is the formula in the first record?
  TmBiNO

- What is the formula in the third record?
  K2Zn3S4